Below is a relaxed ZnCS2 crystal, with properties calculated at the GGA-PBEsol level.

Cell: 4.207 4.207 4.207 Å, 60.00 60.00 60.00°
Element x y z (fractional)
Zn  0.000  0.000  0.000
C  0.500  0.500  0.500
S  0.250  0.250  0.250
S  0.750  0.750  0.750

Properties
The value obtained for the magnetic moment is 0.0 μB per cell. The value obtained for the density of states at the Fermi level is 0.416 states/eV per atom. The formation energy (no corrections) comes out at 1.49 eV/atom. The calculation puts the calculated total energy at -3.509 eV/atom.